No. 1
HgMo2Br: optimized geometry, PBE.

Structure (POSCAR):
```
HgMo2Br
1.0
-0.1643 -2.1356 4.8361
0.9780 -3.5288 -4.2193
2.9230 -0.5026 0.2738
Hg Mo Br
1 2 1
direct
0.5000 0.5000 0.0000
0.0000 0.0000 0.0000
0.5000 0.0000 0.5000
0.0000 0.5000 0.5000
```

Computed properties:
* energy relative to the elements, uncorrected: 4.24 eV/f.u.
* calculated volume: 18.7 Å³ per atom
* spin magnetization: 0.00 μB per formula unit
* uncorrected energy: -4.850 eV/atom

No. 2
Hg2MoBr: optimized geometry, PBE.

Structure (POSCAR):
```
Hg2MoBr
1.0
-3.3695 -5.2173 -4.2953
-4.7019 -5.6997 -1.5581
-4.2054 1.8436 -1.7222
Hg Br Mo
2 1 1
direct
0.8400 0.8400 0.6587
0.9844 0.9844 0.0156
0.1607 0.1607 0.3403
0.5148 0.5148 0.4854
```

Computed properties:
* energy relative to the elements, uncorrected: 1.19 eV/f.u.
* calculated volume: 26.4 Å³ per atom
* spin magnetization: 0.80 μB per formula unit
* uncorrected energy: -2.979 eV/atom

No. 3
HgMo2Br: optimized geometry, PBE.

Structure (POSCAR):
```
HgMo2Br
1.0
6.4432 0.0097 0.1517
5.6631 3.0731 0.1517
5.5561 1.4149 5.5107
Mo Br Hg
2 1 1
direct
0.4746 0.4746 0.6716
0.0254 0.0254 0.8284
0.7500 0.7500 0.7500
0.2500 0.2500 0.2500
```

Computed properties:
* energy relative to the elements, uncorrected: 2.06 eV/f.u.
* calculated volume: 26.5 Å³ per atom
* spin magnetization: 0.00 μB per formula unit
* uncorrected energy: -5.393 eV/atom

No. 4
HgMoBr4: optimized geometry, PBE.

Structure (POSCAR):
```
HgMoBr4
1.0
0.0000 4.4485 4.4485
4.4485 0.0000 4.4485
4.4485 4.4485 0.0000
Hg Mo Br
1 1 4
direct
0.7500 0.7500 0.7500
0.0000 0.0000 0.0000
0.3748 0.3748 0.3748
0.3748 0.8757 0.3748
0.3748 0.3748 0.8757
0.8757 0.3748 0.3748
```

Computed properties:
* energy relative to the elements, uncorrected: 5.72 eV/f.u.
* calculated volume: 29.3 Å³ per atom
* spin magnetization: 3.75 μB per formula unit
* uncorrected energy: -2.018 eV/atom

No. 5
HgMo2Br: optimized geometry, PBE.

Structure (POSCAR):
```
HgMo2Br
1.0
0.0000 3.2761 3.2761
3.2761 0.0000 3.2761
3.2761 3.2761 0.0000
Mo Br Hg
2 1 1
direct
0.2500 0.2500 0.2500
0.7500 0.7500 0.7500
0.0000 0.0000 0.0000
0.5000 0.5000 0.5000
```

Computed properties:
* energy relative to the elements, uncorrected: 4.37 eV/f.u.
* calculated volume: 17.6 Å³ per atom
* spin magnetization: 0.00 μB per formula unit
* uncorrected energy: -4.816 eV/atom

No. 6
Hg2MoBr: optimized geometry, PBE.

Structure (POSCAR):
```
Hg2MoBr
1.0
-0.5935 0.1990 5.9378
3.3073 -2.4913 0.4141
2.4914 3.3303 0.1374
Hg Mo Br
2 1 1
direct
0.0000 0.0000 0.0000
0.0000 0.5000 0.5000
0.5000 0.5000 0.0000
0.5000 0.0000 0.5000
```

Computed properties:
* energy relative to the elements, uncorrected: 2.81 eV/f.u.
* calculated volume: 25.8 Å³ per atom
* spin magnetization: 4.53 μB per formula unit
* uncorrected energy: -2.575 eV/atom